Record 1
BaC3Cl | GGA-PBE | relaxed

The structure belongs to space group Pm-3m (No. 221); the cell edges are 4.318, 4.318 and 4.318 Å and the angles 90.00°, 90.00° and 90.00°. The distinct sites, in fractional coordinates, are Ba at (0.000, 0.000, 0.000), C at (0.000, 0.500, 0.500) and Cl at (0.500, 0.500, 0.500).

For the raw formation energy, the calculation gives 2.71 eV per atom. Its polymorph energy (0 for the lowest one) is 0 meV/atom.

---

Record 2
BaCCl2 | GGA-PBE | relaxed

The structure belongs to space group I-42d (No. 122); the cell edges are 5.106, 5.106 and 18.427 Å and the angles 90.00°, 90.00° and 90.00°. The distinct sites, in fractional coordinates, are Ba at (0.000, 0.000, 0.000), C at (0.000, 0.000, 0.500) and Cl at (0.215, 0.250, 0.625).

For the raw formation energy, the calculation gives 0.08 eV per atom. Its polymorph energy (0 for the lowest one) is 123 meV/atom.

---

Record 3
Ba2C2Cl | GGA-PBE | relaxed

The structure belongs to space group C2/m (No. 12); the cell edges are 7.412, 4.965 and 7.663 Å and the angles 90.00°, 94.25° and 90.00°. The distinct sites, in fractional coordinates, are Ba at (0.163, 0.000, 0.284), C at (0.000, 0.370, 0.500) and Cl at (0.000, 0.500, 0.000).

For the raw formation energy, the calculation gives -0.70 eV per atom.

---

Record 4
Cs2BaCCl6 | GGA-PBE | relaxed

The structure belongs to space group Fm-3m (No. 225); the cell edges are 10.799, 10.799 and 10.799 Å and the angles 90.00°, 90.00° and 90.00°. The distinct sites, in fractional coordinates, are Cs at (0.250, 0.250, 0.250), Ba at (0.000, 0.000, 0.000), C at (0.000, 0.000, 0.500) and Cl at (0.000, 0.000, 0.279).

For the raw formation energy, the calculation gives -1.08 eV per atom.

---

Record 5
BaH2CSNClO | GGA-PBE | relaxed

The structure belongs to space group Pnma (No. 62); the cell edges are 5.937, 4.840 and 20.497 Å and the angles 90.00°, 90.00° and 90.00°. The distinct sites, in fractional coordinates, are Ba at (0.236, 0.250, 0.083), H at (0.121, 0.090, 0.243), C at (0.181, 0.250, 0.854), S at (0.060, 0.750, 0.327), N at (0.007, 0.750, 0.127), Cl at (0.236, 0.250, 0.479) and O at (0.157, 0.250, 0.215).

The value obtained for the total energy is -183.00 eV per cell.

---

Record 6
BaLiCCl2 | GGA-PBE | relaxed

The structure belongs to space group P4/mmm (No. 123); the cell edges are 5.196, 5.196 and 4.054 Å and the angles 90.00°, 90.00° and 90.00°. The distinct sites, in fractional coordinates, are Ba at (0.000, 0.000, 0.000), Li at (0.500, 0.500, 0.000), C at (0.500, 0.500, 0.500) and Cl at (0.000, 0.500, 0.500).

For the raw formation energy, the calculation gives -0.16 eV per atom.

---

Record 7
BaCSNCl | GGA-PBE | relaxed

The structure belongs to space group P2_1/m (No. 11); the cell edges are 5.913, 4.674 and 8.972 Å and the angles 90.00°, 98.72° and 90.00°. The distinct sites, in fractional coordinates, are Ba at (0.212, 0.250, 0.303), C at (0.390, 0.250, 0.843), S at (0.139, 0.250, 0.897), N at (0.426, 0.750, 0.195) and Cl at (0.251, 0.750, 0.547).

For the raw formation energy, the calculation gives -1.11 eV per atom.

---

Record 8
BaNa2CCl | GGA-PBE | relaxed

The structure belongs to space group P4/mmm (No. 123); the cell edges are 4.895, 4.895 and 7.734 Å and the angles 90.00°, 90.00° and 90.00°. The distinct sites, in fractional coordinates, are Ba at (0.000, 0.000, 0.000), Na at (0.000, 0.500, 0.500), C at (0.500, 0.500, 0.000) and Cl at (0.500, 0.500, 0.500).

For the raw formation energy, the calculation gives 0.45 eV per atom.

---

Record 9
Ba2NaCCl | GGA-PBE | relaxed

The structure belongs to space group P4/mmm (No. 123); the cell edges are 6.059, 6.059 and 4.634 Å and the angles 90.00°, 90.00° and 90.00°. The distinct sites, in fractional coordinates, are Ba at (0.000, 0.500, 0.000), Na at (0.000, 0.000, 0.500), C at (0.500, 0.500, 0.500) and Cl at (0.500, 0.500, 0.000).

For the raw formation energy, the calculation gives 0.45 eV per atom.

---

Record 10
Ba3CCl4O3 | GGA-PBE | relaxed

The structure belongs to space group Pnma (No. 62); the cell edges are 8.504, 9.633 and 12.768 Å and the angles 90.00°, 90.00° and 90.00°. The distinct sites, in fractional coordinates, are Ba at (0.039, 0.009, 0.183), Ba at (0.043, 0.750, 0.464), C at (0.231, 0.250, 0.708), Cl at (0.049, 0.250, 0.988), Cl at (0.167, 0.750, 0.700), Cl at (0.188, 0.041, 0.414), O at (0.133, 0.750, 0.254) and O at (0.167, 0.132, 0.682).

For the raw formation energy, the calculation gives -2.41 eV per atom.

---

Record 11
BaOsCCl2 | GGA-PBE | relaxed

The structure belongs to space group P4/mmm (No. 123); the cell edges are 5.958, 5.958 and 7.419 Å and the angles 90.00°, 90.00° and 90.00°. The distinct sites, in fractional coordinates, are Ba at (0.000, 0.000, 0.000), Os at (0.000, 0.000, 0.500), C at (0.500, 0.500, 0.500) and Cl at (0.000, 0.500, 0.000).

For the raw formation energy, the calculation gives 1.85 eV per atom.

---

Record 12
BaP2CCl | GGA-PBE | relaxed

The structure belongs to space group P4/mmm (No. 123); the cell edges are 6.285, 6.285 and 5.107 Å and the angles 90.00°, 90.00° and 90.00°. The distinct sites, in fractional coordinates, are Ba at (0.000, 0.000, 0.000), P at (0.000, 0.500, 0.000), C at (0.000, 0.000, 0.500) and Cl at (0.500, 0.500, 0.500).

For the raw formation energy, the calculation gives 2.15 eV per atom. Its polymorph energy (0 for the lowest one) is 2062 meV/atom.

---

Record 13
BaP2CCl | GGA-PBE | relaxed

The structure belongs to space group P4/mmm (No. 123); the cell edges are 6.595, 6.595 and 5.858 Å and the angles 90.00°, 90.00° and 90.00°. The distinct sites, in fractional coordinates, are Ba at (0.000, 0.000, 0.000), P at (0.000, 0.500, 0.000), C at (0.500, 0.500, 0.500) and Cl at (0.000, 0.000, 0.500).

For the raw formation energy, the calculation gives 1.82 eV per atom. Its polymorph energy (0 for the lowest one) is 1733 meV/atom.

---

Record 14
BaP2CCl | GGA-PBE | relaxed

The structure belongs to space group P4/mmm (No. 123); the cell edges are 4.114, 4.114 and 6.347 Å and the angles 90.00°, 90.00° and 90.00°. The distinct sites, in fractional coordinates, are Ba at (0.000, 0.000, 0.000), P at (0.000, 0.500, 0.500), C at (0.500, 0.500, 0.500) and Cl at (0.500, 0.500, 0.000).

For the raw formation energy, the calculation gives 0.09 eV per atom. Its polymorph energy (0 for the lowest one) is 0 meV/atom.

---

Record 15
BaPCCl2 | GGA-PBE | relaxed

The structure belongs to space group P4/mmm (No. 123); the cell edges are 5.977, 5.977 and 7.547 Å and the angles 90.00°, 90.00° and 90.00°. The distinct sites, in fractional coordinates, are Ba at (0.000, 0.000, 0.000), P at (0.000, 0.000, 0.500), C at (0.500, 0.500, 0.500) and Cl at (0.000, 0.500, 0.000).

For the raw formation energy, the calculation gives 0.96 eV per atom. Its polymorph energy (0 for the lowest one) is 1140 meV/atom.

---

Record 16
BaPCCl2 | GGA-PBE | relaxed

The structure belongs to space group P4/mmm (No. 123); the cell edges are 5.732, 5.732 and 3.543 Å and the angles 90.00°, 90.00° and 90.00°. The distinct sites, in fractional coordinates, are Ba at (0.000, 0.000, 0.000), P at (0.500, 0.500, 0.000), C at (0.500, 0.500, 0.500) and Cl at (0.000, 0.500, 0.500).

For the raw formation energy, the calculation gives -0.18 eV per atom. Its polymorph energy (0 for the lowest one) is 0 meV/atom.

---

Record 17
BaPtCCl2 | GGA-PBE | relaxed

The structure belongs to space group P4/mmm (No. 123); the cell edges are 5.927, 5.927 and 6.391 Å and the angles 90.00°, 90.00° and 90.00°. The distinct sites, in fractional coordinates, are Ba at (0.000, 0.000, 0.000), Pt at (0.000, 0.000, 0.500), C at (0.500, 0.500, 0.500) and Cl at (0.000, 0.500, 0.000).

For the raw formation energy, the calculation gives 1.19 eV per atom.

---

Record 18
Ba2PtCCl | GGA-PBE | relaxed

The structure belongs to space group P4/mmm (No. 123); the cell edges are 5.894, 5.894 and 3.892 Å and the angles 90.00°, 90.00° and 90.00°. The distinct sites, in fractional coordinates, are Ba at (0.000, 0.500, 0.000), Pt at (0.000, 0.000, 0.500), C at (0.000, 0.000, 0.000) and Cl at (0.500, 0.500, 0.500).

For the raw formation energy, the calculation gives -0.89 eV per atom.

---

Record 19
Ba2RhCCl | GGA-PBE | relaxed

The structure belongs to space group P4/mmm (No. 123); the cell edges are 5.842, 5.842 and 3.913 Å and the angles 90.00°, 90.00° and 90.00°. The distinct sites, in fractional coordinates, are Ba at (0.000, 0.500, 0.000), Rh at (0.000, 0.000, 0.500), C at (0.000, 0.000, 0.000) and Cl at (0.500, 0.500, 0.500).

For the raw formation energy, the calculation gives -0.71 eV per atom.

---

Record 20
Ba2CSeCl | GGA-PBE | relaxed

The structure belongs to space group P4/mmm (No. 123); the cell edges are 5.932, 5.932 and 5.161 Å and the angles 90.00°, 90.00° and 90.00°. The distinct sites, in fractional coordinates, are Ba at (0.000, 0.500, 0.000), C at (0.000, 0.000, 0.500), Se at (0.500, 0.500, 0.500) and Cl at (0.500, 0.500, 0.000).

For the raw formation energy, the calculation gives 0.32 eV per atom.